*i*
# Pm2CuPd3

Crystalline Pm2CuPd3 at its relaxed geometry (GGA-PBE, the Alexandria database).

The structure in CIF format:
```
data_Pm2CuPd3
_chemical_formula_sum 'Pm2 Cu1 Pd3'
_space_group_name_H-M_alt 'P m m 2'
_space_group_IT_number 25
_cell_length_a 3.723
_cell_length_b 4.433
_cell_length_c 7.737
_cell_angle_alpha 90.00
_cell_angle_beta 90.00
_cell_angle_gamma 90.00
loop_
_space_group_symop_operation_xyz
'x,y,z'
'-x,-y,z'
'-x,y,z'
'x,-y,z'
loop_
_atom_site_label
_atom_site_type_symbol
_atom_site_fract_x
_atom_site_fract_y
_atom_site_fract_z
_atom_site_occupancy
Pm1 Pm 0.000 0.000 0.000 1
Pm2 Pm 0.000 0.500 0.484 1
Cu1 Cu 0.500 0.500 0.818 1
Pd1 Pd 0.500 0.000 0.333 1
Pd2 Pd 0.500 0.000 0.677 1
Pd3 Pd 0.500 0.500 0.139 1
```

***

*ii*
# Pm2CuPd3

Crystalline Pm2CuPd3 at its relaxed geometry (GGA-PBE, the Alexandria database).

The structure in CIF format:
```
data_Pm2CuPd3
_chemical_formula_sum 'Pm4 Cu2 Pd6'
_space_group_name_H-M_alt 'I m m m'
_space_group_IT_number 71
_space_group_name_Hall '-I 2 2'
_cell_length_a 4.518
_cell_length_b 5.518
_cell_length_c 10.391
_cell_angle_alpha 90.00
_cell_angle_beta 90.00
_cell_angle_gamma 90.00
loop_
_atom_site_label
_atom_site_type_symbol
_atom_site_fract_x
_atom_site_fract_y
_atom_site_fract_z
_atom_site_occupancy
Pm1 Pm 0.000 0.000 0.188 1
Cu1 Cu 0.000 0.000 0.500 1
Pd1 Pd 0.000 0.500 0.127 1
Pd2 Pd 0.000 0.500 0.500 1
```

***

Stability ranking, top and bottom: *i* is the most stable and *ii* is the least stable.

***

*i*
# PmCuPd

Crystalline PmCuPd at its relaxed geometry (GGA-PBE, the Alexandria database).

The structure in CIF format:
```
data_PmCuPd
_chemical_formula_sum 'Pm4 Cu4 Pd4'
_space_group_name_H-M_alt 'F -4 3 m'
_space_group_IT_number 216
_space_group_name_Hall 'F -4 2 3'
_cell_length_a 6.522
_cell_length_b 6.522
_cell_length_c 6.522
_cell_angle_alpha 90.00
_cell_angle_beta 90.00
_cell_angle_gamma 90.00
loop_
_atom_site_label
_atom_site_type_symbol
_atom_site_fract_x
_atom_site_fract_y
_atom_site_fract_z
_atom_site_occupancy
Pm1 Pm 0.000 0.000 0.000 1
Cu1 Cu 0.000 0.000 0.500 1
Pd1 Pd 0.250 0.250 0.750 1
```

***

*ii*
# PmCuPd

Crystalline PmCuPd at its relaxed geometry (GGA-PBE, the Alexandria database).

The structure in CIF format:
```
data_PmCuPd
_chemical_formula_sum 'Pm1 Cu1 Pd1'
_space_group_name_H-M_alt 'P -6 m 2'
_space_group_IT_number 187
_space_group_name_Hall 'P -6 2'
_cell_length_a 4.4036
_cell_length_b 4.4036
_cell_length_c 3.6815
_cell_angle_alpha 90.00
_cell_angle_beta 90.00
_cell_angle_gamma 120.00
loop_
_atom_site_label
_atom_site_type_symbol
_atom_site_fract_x
_atom_site_fract_y
_atom_site_fract_z
_atom_site_occupancy
Pm1 Pm 0.0000 0.0000 0.0000 1
Cu1 Cu 0.3333 0.6667 0.5000 1
Pd1 Pd 0.6667 0.3333 0.5000 1
```

***

*iii*
# PmCuPd

Crystalline PmCuPd at its relaxed geometry (GGA-PBE, the Alexandria database).

The structure in CIF format:
```
data_PmCuPd
_chemical_formula_sum 'Pm4 Cu4 Pd4'
_space_group_name_H-M_alt 'P 41 21 2'
_space_group_IT_number 92
_cell_length_a 5.732
_cell_length_b 5.732
_cell_length_c 8.852
_cell_angle_alpha 90.00
_cell_angle_beta 90.00
_cell_angle_gamma 90.00
loop_
_space_group_symop_operation_xyz
'x,y,z'
'-y+1/2,x+1/2,z+1/4'
'-x,-y,z+1/2'
'y+1/2,-x+1/2,z+3/4'
'x+1/2,-y+1/2,-z+3/4'
'-y,-x,-z+1/2'
'-x+1/2,y+1/2,-z+1/4'
'y,x,-z'
loop_
_atom_site_label
_atom_site_type_symbol
_atom_site_fract_x
_atom_site_fract_y
_atom_site_fract_z
_atom_site_occupancy
Pm1 Pm 0.225 0.225 0.000 1
Cu1 Cu 0.127 0.127 0.500 1
Pd1 Pd 0.073 0.927 0.750 1
```

***

Stability ranking, top and bottom: *ii* is the most stable and *iii* is the least stable.